1.
DyHo2Pt | GGA-PBE | relaxed

## Properties
calculated formation energy: -2.75 eV/f.u.

The structure in POSCAR format:
```
DyHo2Pt
1.0
1.889 -6.056 0.000
1.889 6.056 0.000
0.000 0.000 9.356
Dy Ho Pt
2 4 2
direct
0.069 0.931 0.750
0.931 0.069 0.250
0.363 0.637 0.563
0.363 0.637 0.937
0.637 0.363 0.063
0.637 0.363 0.437
0.241 0.759 0.250
0.759 0.241 0.750
```

***

2.
SrOs2Se | GGA-PBE | relaxed

## Properties
energy relative to the elements, uncorrected: 275 meV per atom

The structure in POSCAR format:
```
SrOs2Se
1.0
4.956 -1.557 0.000
4.956 1.557 0.000
-2.200 0.000 5.488
Sr Os Se
1 2 1
direct
0.000 0.000 0.000
0.487 0.487 0.461
0.773 0.773 0.426
0.195 0.195 0.683
```

***

3.
TcCl2F | GGA-PBE | relaxed

## Properties
energy relative to the elements, uncorrected: -187 meV per atom

The structure in POSCAR format:
```
TcCl2F
1.0
-3.127 3.127 4.252
3.127 -3.127 4.252
3.127 3.127 -4.252
Tc Cl F
2 4 2
direct
0.000 0.000 0.000
0.750 0.250 0.500
0.069 0.625 0.944
0.375 0.319 0.444
0.681 0.125 0.056
0.875 0.931 0.556
0.250 0.750 0.500
0.500 0.500 0.000
```

***

4.
TmLuHf2 | GGA-PBE | relaxed

## Properties
calculated formation energy: 0.62 eV/f.u.

The structure in POSCAR format:
```
TmLuHf2
1.0
4.616 0.000 0.000
0.000 4.616 0.000
0.000 0.000 4.729
Tm Lu Hf
1 1 2
direct
0.000 0.000 0.000
0.500 0.500 0.000
0.000 0.500 0.500
0.500 0.000 0.500
```

***

5.
ScPt4Cl | GGA-PBE | relaxed

## Properties
energy relative to the elements, uncorrected: -402 meV per atom

The structure in POSCAR format:
```
ScPt4Cl
1.0
0.000 3.774 3.774
3.774 0.000 3.774
3.774 3.774 0.000
Sc Pt Cl
1 4 1
direct
0.000 0.000 0.000
0.375 0.375 0.375
0.375 0.375 0.875
0.375 0.875 0.375
0.875 0.375 0.375
0.750 0.750 0.750
```

***

6.
SrSc2Al | GGA-PBE | relaxed

## Properties
calculated formation energy: 0.55 eV/f.u.

The structure in POSCAR format:
```
SrSc2Al
1.0
0.000 3.741 3.741
3.741 0.000 3.741
3.741 3.741 0.000
Sr Sc Al
1 2 1
direct
0.000 0.000 0.000
0.250 0.250 0.250
0.500 0.500 0.500
0.750 0.750 0.750
```

***

7.
NaYPbBr6 | GGA-PBE | relaxed

## Properties
energy relative to the elements, uncorrected: -1472 meV per atom

The structure in POSCAR format:
```
NaYPbBr6
1.0
7.397 0.000 0.000
-3.699 6.406 0.000
0.000 0.000 13.120
Na Y Pb Br
2 2 2 12
direct
0.333 0.667 0.250
0.667 0.333 0.750
0.333 0.667 0.750
0.667 0.333 0.250
0.000 0.000 0.000
0.000 0.000 0.500
0.017 0.357 0.627
0.017 0.660 0.873
0.340 0.357 0.873
0.340 0.983 0.627
0.357 0.017 0.127
0.357 0.340 0.373
0.643 0.660 0.627
0.643 0.983 0.873
0.660 0.017 0.373
0.660 0.643 0.127
0.983 0.340 0.127
0.983 0.643 0.373
```

***

8.
MnCr3Te | GGA-PBE | relaxed

## Properties
energy relative to the elements, uncorrected: 1971 meV per atom

The structure in POSCAR format:
```
MnCr3Te
1.0
5.019 0.000 0.000
0.000 5.019 0.000
0.000 0.000 5.019
Mn Cr Te
1 3 1
direct
0.000 0.000 0.000
0.000 0.500 0.500
0.500 0.000 0.500
0.500 0.500 0.000
0.500 0.500 0.500
```